No. 1
HfCuB | PBE-GGA | optimized geometry

It has space group P1 (No. 1), with a = 3.233 Å, b = 4.763 Å, c = 5.911 Å, α = 98.31°, β = 105.76° and γ = 109.75°. The distinct sites, in fractional coordinates, are Hf at (0.000, 0.000, 0.000), Hf at (0.085, 0.662, 0.508), Cu at (0.502, 0.303, 0.705), Cu at (0.723, 0.062, 0.385), B at (0.351, 0.604, 0.099) and B at (0.755, 0.440, 0.071).

The theoretical density is 10.55 g/cm³. Its electronic total energy is -7.1239 eV/atom. The calculation puts the size of the total moment at 0.000 μB per cell.

No. 2
HfNbCuB2 | PBE-GGA | optimized geometry

It has space group P4/mmm (No. 123), with a = 3.929 Å, b = 3.929 Å, c = 4.696 Å, α = 90.00°, β = 90.00° and γ = 90.00°. The distinct sites, in fractional coordinates, are Hf at (0.000, 0.000, 0.000), Nb at (0.500, 0.500, 0.000), Cu at (0.000, 0.000, 0.500) and B at (0.000, 0.500, 0.500).

The theoretical density is 8.17 g/cm³. Its electronic total energy is -6.3776 eV/atom. The calculation puts the size of the total moment at 0.000 μB per cell.

No. 3
HfCuB2Pb | PBE-GGA | optimized geometry

It has space group P4/mmm (No. 123), with a = 4.470 Å, b = 4.470 Å, c = 5.650 Å, α = 90.00°, β = 90.00° and γ = 90.00°. The distinct sites, in fractional coordinates, are Hf at (0.000, 0.000, 0.000), Cu at (0.500, 0.500, 0.500), B at (0.000, 0.500, 0.000) and Pb at (0.000, 0.000, 0.500).

The theoretical density is 6.92 g/cm³. Its electronic total energy is -4.6181 eV/atom. The calculation puts the size of the total moment at 0.000 μB per cell.